Entry from the Alexandria database: a relaxed structure of Na2YHg8 (PBE-GGA).

The structure in extended XYZ format:
```
11
Lattice="-2.363 4.513 6.731 2.363 -4.513 6.731 2.363 4.513 -6.731" Properties=species:S:1:pos:R:3 pbc="T T T"
Na 0.000 0.000 2.153
Na 0.000 0.000 11.310
Y 0.000 0.000 6.731
Hg 2.363 2.133 -2.134
Hg 0.000 2.305 0.000
Hg 2.363 0.000 4.358
Hg 2.363 2.133 2.134
Hg 0.000 2.380 4.598
Hg 0.000 4.513 2.373
Hg 0.000 6.722 0.000
Hg 0.000 2.380 8.865
```

Computed properties:
Volume in Å³ per atom: 26.1
ΔH_f (0 K) in eV per atom: -0.20
Size of the total moment in μB/f.u.: 0.0